Compound: AcAs3Pd3
Source: the Alexandria database
Functional: PBE-GGA
Structure: relaxed

Uncorrected energy: -5.330 eV/atom
Space group: Pm-3n
Formation energy: -0.524 eV/atom
Distance to the lowest polymorph of the same formula: 75.2 kJ/mol of formula units

Cell and atoms, written as POSCAR:
```
AcAs3Pd3
1.0
6.8733 0.0000 0.0000
0.0000 6.8733 0.0000
0.0000 0.0000 6.8733
Ac As Pd
2 6 6
direct
0.0000 0.0000 0.0000
0.5000 0.5000 0.5000
0.0000 0.2500 0.5000
0.0000 0.7500 0.5000
0.2500 0.5000 0.0000
0.5000 0.0000 0.2500
0.5000 0.0000 0.7500
0.7500 0.5000 0.0000
0.0000 0.5000 0.2500
0.0000 0.5000 0.7500
0.2500 0.0000 0.5000
0.5000 0.2500 0.0000
0.5000 0.7500 0.0000
0.7500 0.0000 0.5000
```